The following is a GGA-PBE calculation of a geometry-optimized KAlW2 structure, from the Alexandria database.

Values from the calculation:
- ΔH_f (0 K) (eV per atom) = 1.34
- V (Å³ per cell) = 74

Lattice parameters (Å, degrees): 4.7135 4.7135 4.7121 119.91 119.91 59.98
Fractional positions:
1 K 0.0000 0.0000 0.0000
2 Al 0.2500 0.2500 0.7495
3 W 0.5000 0.5000 0.4997
4 W 0.7500 0.7500 0.2503